Record 1
Computed, not measured: a relaxed structure of SrHf2In2 at the PBE level of DFT.

Cell lengths 8.9526, 8.9526, 3.1877 Å; angles 90.00, 90.00, 90.00 degrees
Closest atoms and distances in Å follow each position.
Fractional coordinates of all 10 atoms:
1 Sr 0.0000 0.0000 0.0000  2 Sr 3.19
2 Sr 0.5000 0.5000 0.0000  2 Sr 3.19
3 Hf 0.1195 0.3805 0.0000  3 Hf 3.03-3.19, 6 In 3.06-3.11
4 Hf 0.3805 0.8805 0.0000  3 Hf 3.03-3.19, 6 In 3.06-3.11
5 Hf 0.6195 0.1195 0.0000  3 Hf 3.03-3.19, 6 In 3.06-3.11
6 Hf 0.8805 0.6195 0.0000  3 Hf 3.03-3.19, 6 In 3.06-3.11
7 In 0.1743 0.6743 0.5000  6 Hf 3.06-3.11, 2 In 3.19
8 In 0.3257 0.1743 0.5000  6 Hf 3.06-3.11, 2 In 3.19
9 In 0.6743 0.8257 0.5000  6 Hf 3.06-3.11, 2 In 3.19
10 In 0.8257 0.3257 0.5000  6 Hf 3.06-3.11, 2 In 3.19

## Properties
Space-group type   No. 127
V   255.49 Å³ per cell
DFT total energy   -5.4279 eV per atom

Record 2
Computed, not measured: a relaxed structure of SrHf3In at the PBE level of DFT.

Cell lengths 5.4091, 5.4091, 5.4091 Å; angles 90.00, 90.00, 90.00 degrees
Closest atoms and distances in Å follow each position.
Fractional coordinates of all 5 atoms:
1 Sr 0.0000 0.0000 0.0000  12 Hf 3.82
2 Hf 0.0000 0.5000 0.5000  2 In 2.70
3 Hf 0.5000 0.0000 0.5000  2 In 2.70
4 Hf 0.5000 0.5000 0.0000  2 In 2.70
5 In 0.5000 0.5000 0.5000  6 Hf 2.70

## Properties
Space-group type   No. 221
V   158.27 Å³ per cell
DFT total energy   -5.7905 eV per atom

Record 3
Computed, not measured: a relaxed structure of SrHfIn3 at the PBE level of DFT.

Cell lengths 5.5570, 5.5570, 5.5570 Å; angles 90.00, 90.00, 90.00 degrees
Closest atoms and distances in Å follow each position.
Fractional coordinates of all 5 atoms:
1 Sr 0.0000 0.0000 0.0000  12 In 3.93
2 Hf 0.5000 0.5000 0.5000  6 In 2.78
3 In 0.0000 0.5000 0.5000  2 Hf 2.78
4 In 0.5000 0.0000 0.5000  2 Hf 2.78
5 In 0.5000 0.5000 0.0000  2 Hf 2.78

## Properties
Space-group type   No. 221
V   171.60 Å³ per cell
DFT total energy   -3.8613 eV per atom

Look up the DFT total energy of the second one. -5.7905 eV per atom

What is the formula in the second record? SrHf3In

Repeat the first record exactly.
Computed, not measured: a relaxed structure of SrHf2In2 at the PBE level of DFT.

Cell lengths 8.9526, 8.9526, 3.1877 Å; angles 90.00, 90.00, 90.00 degrees
Closest atoms and distances in Å follow each position.
Fractional coordinates of all 10 atoms:
1 Sr 0.0000 0.0000 0.0000  2 Sr 3.19
2 Sr 0.5000 0.5000 0.0000  2 Sr 3.19
3 Hf 0.1195 0.3805 0.0000  3 Hf 3.03-3.19, 6 In 3.06-3.11
4 Hf 0.3805 0.8805 0.0000  3 Hf 3.03-3.19, 6 In 3.06-3.11
5 Hf 0.6195 0.1195 0.0000  3 Hf 3.03-3.19, 6 In 3.06-3.11
6 Hf 0.8805 0.6195 0.0000  3 Hf 3.03-3.19, 6 In 3.06-3.11
7 In 0.1743 0.6743 0.5000  6 Hf 3.06-3.11, 2 In 3.19
8 In 0.3257 0.1743 0.5000  6 Hf 3.06-3.11, 2 In 3.19
9 In 0.6743 0.8257 0.5000  6 Hf 3.06-3.11, 2 In 3.19
10 In 0.8257 0.3257 0.5000  6 Hf 3.06-3.11, 2 In 3.19

## Properties
Space-group type   No. 127
V   255.49 Å³ per cell
DFT total energy   -5.4279 eV per atom